a:
Crystalline ReAs5 at its relaxed geometry, computed with PBE.

Computed properties:
* SG: Amm2

The structure in POSCAR format:
```
ReAs5
1.0
1.668 -7.712 0.000
1.668 7.712 0.000
0.000 0.000 4.817
As Re
5 1
direct
0.656 0.344 0.000
0.720 0.280 0.500
0.388 0.612 0.000
0.021 0.979 0.000
0.459 0.541 0.500
0.090 0.910 0.500
```

b:
Crystalline ReAs5 at its relaxed geometry, computed with PBE.

Computed properties:
* SG: Cm

The structure in POSCAR format:
```
ReAs5
1.0
3.189 -5.055 -2.794
5.148 -2.673 -3.144
4.877 -3.248 5.188
As Re
5 1
direct
0.076 0.076 0.352
0.043 0.043 0.055
0.283 0.283 0.223
0.713 0.713 0.701
0.348 0.348 0.800
0.704 0.704 0.034
```

c:
Crystalline ReAs5 at its relaxed geometry, computed with PBE.

Computed properties:
* SG: Cmmm

The structure in POSCAR format:
```
ReAs5
1.0
2.082 -6.886 0.000
2.082 6.886 0.000
0.000 0.000 4.129
As Re
5 1
direct
0.866 0.134 0.000
0.134 0.866 0.000
0.634 0.366 0.500
0.000 0.000 0.500
0.366 0.634 0.500
0.500 0.500 0.000
```

Most stable to least stable, the ends of the list are b and c.

a:
Crystalline Re3AsRu at its relaxed geometry, computed with PBE.

Computed properties:
* SG: Pm-3m

The structure in POSCAR format:
```
Re3AsRu
1.0
4.668 0.000 0.000
0.000 4.668 0.000
0.000 0.000 4.668
Ru Re As
1 3 1
direct
0.000 0.000 0.000
0.500 0.000 0.000
0.000 0.500 0.000
0.000 0.000 0.500
0.500 0.500 0.500
```

b:
Crystalline Re3AsRu at its relaxed geometry, computed with PBE.

Computed properties:
* SG: Pm-3m

The structure in POSCAR format:
```
Re3AsRu
1.0
-1.371 -3.584 -2.307
3.279 -2.435 1.834
-2.723 -1.128 3.371
Re Ru As
3 1 1
direct
0.000 0.000 0.500
0.000 0.500 0.000
0.500 0.000 0.000
0.500 0.500 0.500
0.000 0.000 0.000
```

Most stable to least stable, the ends of the list are b and a.

a:
Crystalline ReAsS3 at its relaxed geometry, computed with PBE.

Computed properties:
* SG: Pm-3m

The structure in POSCAR format:
```
ReAsS3
1.0
4.615 0.000 0.000
0.000 4.615 0.000
0.000 0.000 4.615
Re S As
1 3 1
direct
0.000 0.000 0.000
0.000 0.500 0.000
0.500 0.000 0.000
0.000 0.000 0.500
0.500 0.500 0.500
```

b:
Crystalline ReAsS3 at its relaxed geometry, computed with PBE.

Computed properties:
* SG: Pm-3m

The structure in POSCAR format:
```
ReAsS3
1.0
-1.681 1.486 3.933
-0.647 -4.277 1.340
4.154 -0.064 1.800
Re S As
1 3 1
direct
0.500 0.500 0.500
0.500 0.000 0.000
0.000 0.000 0.500
0.000 0.500 0.000
0.000 0.000 0.000
```

Most stable to least stable, the ends of the list are a and b.

a:
Crystalline ReAs2SeS at its relaxed geometry, computed with PBE.

Computed properties:
* SG: P4/mmm

The structure in POSCAR format:
```
ReAs2SeS
1.0
-1.399 1.420 -4.472
-4.194 -2.471 0.527
-2.002 3.788 1.829
Re As S Se
1 2 1 1
direct
0.000 0.000 0.000
0.500 0.000 0.000
0.000 0.500 0.000
0.500 0.500 0.500
0.000 0.000 0.500
```

b:
Crystalline ReAs2SeS at its relaxed geometry, computed with PBE.

Computed properties:
* SG: P4/mmm

The structure in POSCAR format:
```
ReAs2SeS
1.0
4.719 0.000 0.000
0.000 4.719 0.000
0.000 0.000 4.624
Re Se As S
1 1 2 1
direct
0.500 0.500 0.500
0.000 0.000 0.500
0.000 0.500 0.000
0.500 0.000 0.000
0.000 0.000 0.000
```

Most stable to least stable, the ends of the list are a and b.

a:
Crystalline ReAsSe2S at its relaxed geometry, computed with PBE.

Computed properties:
* SG: P4/mmm

The structure in POSCAR format:
```
ReAsSe2S
1.0
4.596 0.000 0.000
0.000 4.596 0.000
0.000 0.000 4.663
Se Re S As
2 1 1 1
direct
0.500 0.000 0.000
0.000 0.500 0.000
0.500 0.500 0.500
0.000 0.000 0.000
0.000 0.000 0.500
```

b:
Crystalline ReAsSe2S at its relaxed geometry, computed with PBE.

Computed properties:
* SG: P4/mmm

The structure in POSCAR format:
```
ReAsSe2S
1.0
4.745 0.000 0.000
0.000 4.745 0.000
0.000 0.000 5.021
S Se Re As
1 2 1 1
direct
0.500 0.500 0.500
0.000 0.500 0.000
0.500 0.000 0.000
0.000 0.000 0.000
0.000 0.000 0.500
```

Most stable to least stable, the ends of the list are b and a.

a:
Crystalline ReSbAs at its relaxed geometry, computed with PBE.

Computed properties:
* SG: F-43m

The structure in POSCAR format:
```
ReSbAs
1.0
4.448 0.000 0.000
2.224 3.852 0.000
2.224 1.284 3.632
Sb Re As
1 1 1
direct
0.000 0.000 0.000
0.750 0.750 0.750
0.500 0.500 0.500
```

b:
Crystalline ReSbAs at its relaxed geometry, computed with PBE.

Computed properties:
* SG: P3m1

The structure in POSCAR format:
```
ReSbAs
1.0
3.308 0.000 0.000
-1.654 2.865 0.000
0.000 0.000 6.475
Sb As Re
1 1 1
direct
0.333 0.667 0.625
0.000 0.000 0.060
0.667 0.333 0.314
```

Most stable to least stable, the ends of the list are b and a.

a:
Crystalline ReSbAs at its relaxed geometry, computed with PBE.

Computed properties:
* SG: I4mm

The structure in POSCAR format:
```
ReSbAs
1.0
-5.877 2.835 -1.435
-4.478 0.480 -4.935
4.122 -3.449 3.968
As Sb Re
1 1 1
direct
0.955 0.955 0.000
0.701 0.701 0.000
0.344 0.344 0.000
```

b:
Crystalline ReSbAs at its relaxed geometry, computed with PBE.

Computed properties:
* SG: P-6m2

The structure in POSCAR format:
```
ReSbAs
1.0
-3.096 -1.330 2.849
0.142 -1.714 -4.064
2.043 -2.418 1.091
Re As Sb
1 1 1
direct
0.667 0.333 0.167
0.000 0.000 0.167
0.333 0.667 0.667
```

Most stable to least stable, the ends of the list are a and b.